Material: SnGe2As
Method: DFT, PBE
State: relaxed

Calculated values
- energy above the lowest structure with this stoichiometry (meV/atom) = 156.1

Cell and atoms, written as CIF:
```
data_SnGe2As
_space_group_name_H-M_alt 'F m -3 m'
_space_group_IT_number 225
_space_group_name_Hall '-F 4 2 3'
_cell_length_a 6.970
_cell_length_b 6.970
_cell_length_c 6.970
_cell_angle_alpha 90.00
_cell_angle_beta 90.00
_cell_angle_gamma 90.00
loop_
_atom_site_label
_atom_site_fract_x
_atom_site_fract_y
_atom_site_fract_z
_atom_site_occupancy
Sn1 0.000 0.000 0.000 1
Ge1 0.250 0.250 0.250 1
As1 0.000 0.000 0.500 1
```



Material: SnGeAs3
Method: DFT, PBE
State: relaxed

Calculated values
- energy above the lowest structure with this stoichiometry (meV/atom) = 510.0

Cell and atoms, written as CIF:
```
data_SnGeAs3
_space_group_name_H-M_alt 'P m -3 m'
_space_group_IT_number 221
_space_group_name_Hall '-P 4 2 3'
_cell_length_a 4.976
_cell_length_b 4.976
_cell_length_c 4.976
_cell_angle_alpha 90.00
_cell_angle_beta 90.00
_cell_angle_gamma 90.00
loop_
_atom_site_label
_atom_site_fract_x
_atom_site_fract_y
_atom_site_fract_z
_atom_site_occupancy
Sn1 0.000 0.000 0.000 1
Ge1 0.500 0.500 0.500 1
As1 0.000 0.500 0.500 1
```



Material: Sn4GeAs6
Method: DFT, PBE
State: relaxed

Cell and atoms, written as CIF:
```
data_Sn4GeAs6
_space_group_name_H-M_alt 'C 1 c 1'
_space_group_IT_number 9
_cell_length_a 13.572
_cell_length_b 7.490
_cell_length_c 13.172
_cell_angle_alpha 90.00
_cell_angle_beta 112.16
_cell_angle_gamma 90.00
loop_
_space_group_symop_operation_xyz
'x,y,z'
'x,-y,z+1/2'
'x+1/2,y+1/2,z'
'x+1/2,-y+1/2,z+1/2'
loop_
_atom_site_label
_atom_site_fract_x
_atom_site_fract_y
_atom_site_fract_z
_atom_site_occupancy
Sn1 0.000 0.077 0.000 1
Sn2 0.010 0.374 0.311 1
Sn3 0.195 0.079 0.810 1
Sn4 0.321 0.267 0.132 1
Ge1 0.256 0.235 0.560 1
As1 0.012 0.249 0.816 1
As2 0.066 0.265 0.520 1
As3 0.136 0.234 0.193 1
As4 0.296 0.494 0.469 1
As5 0.322 0.297 0.755 1
As6 0.349 0.001 0.004 1
```



Material: SnGe2As2
Method: DFT, PBE
State: relaxed

Calculated values
- energy above the lowest structure with this stoichiometry (meV/atom) = 0.0

Cell and atoms, written as CIF:
```
data_SnGe2As2
_space_group_name_H-M_alt 'P 4/m b m'
_space_group_IT_number 127
_space_group_name_Hall '-P 4 2ab'
_cell_length_a 7.847
_cell_length_b 7.847
_cell_length_c 3.522
_cell_angle_alpha 90.00
_cell_angle_beta 90.00
_cell_angle_gamma 90.00
loop_
_atom_site_label
_atom_site_fract_x
_atom_site_fract_y
_atom_site_fract_z
_atom_site_occupancy
Sn1 0.000 0.000 0.000 1
Ge1 0.138 0.362 0.500 1
As1 0.150 0.650 0.000 1
```



Material: Th4SnGeAs2
Method: DFT, PBE
State: relaxed

Cell and atoms, written as CIF:
```
data_Th4SnGeAs2
_space_group_name_H-M_alt 'P 1 2/m 1'
_space_group_IT_number 10
_cell_length_a 7.489
_cell_length_b 4.346
_cell_length_c 7.549
_cell_angle_alpha 90.00
_cell_angle_beta 109.59
_cell_angle_gamma 90.00
loop_
_space_group_symop_operation_xyz
'x,y,z'
'-x,-y,-z'
'-x,y,-z'
'x,-y,z'
loop_
_atom_site_label
_atom_site_fract_x
_atom_site_fract_y
_atom_site_fract_z
_atom_site_occupancy
Th1 0.240 0.000 0.238 1
Th2 0.247 0.500 0.757 1
Sn1 0.500 0.500 0.500 1
Ge1 0.500 0.000 0.000 1
As1 0.000 0.000 0.500 1
As2 0.000 0.500 0.000 1
```



Material: TlSn2GeAs4
Method: DFT, PBE
State: relaxed

Cell and atoms, written as CIF:
```
data_TlSn2GeAs4
_space_group_name_H-M_alt 'F m m 2'
_space_group_IT_number 42
_space_group_name_Hall 'F 2 -2'
_cell_length_a 8.312
_cell_length_b 11.035
_cell_length_c 8.964
_cell_angle_alpha 90.00
_cell_angle_beta 90.00
_cell_angle_gamma 90.00
loop_
_atom_site_label
_atom_site_fract_x
_atom_site_fract_y
_atom_site_fract_z
_atom_site_occupancy
Tl1 0.000 0.000 0.000 1
Sn1 0.250 0.250 0.241 1
Ge1 0.000 0.000 0.470 1
As1 0.000 0.224 0.543 1
As2 0.227 0.000 0.293 1
```



no.,calculated volume (Å³ per atom),E_tot (eV per atom),formation energy from the elements (eV/atom)
1,21.16,-4.17,0.30
2,24.64,-3.92,0.59
3,28.18,-4.37,0.04
4,21.69,-4.28,0.23
5,28.94,-6.94,-0.99
6,25.69,-4.16,0.04